1.
K2Na5Tl2 after structural relaxation, computed with PBE.

As for the energy of formation: -0.017 eV/atom. The symmetry is No. 46. The distance to the lowest polymorph of the same formula is 0.0 meV per atom. For the volume, the calculation gives 717.69 Å³ per cell.

Cell lengths 9.2040, 8.0906, 11.4206 Å; angles 110.74, 113.76, 90.00 degrees
Last column: nearest neighbours and their distance in Å.
Sites, in units of the cell vectors:
1 K 0.1641 0.6443 0.2491  3 Tl 3.69-3.76, 7 Na 3.95-4.13
2 K 0.8359 0.3952 0.7509  3 Tl 3.69-3.76, 7 Na 3.95-4.13
3 K 0.5850 0.1443 0.2491  3 Tl 3.69-3.76, 7 Na 3.95-4.13
4 K 0.4150 0.8952 0.7509  3 Tl 3.69-3.76, 7 Na 3.95-4.13
5 Na 0.2792 0.6718 0.9582  2 Tl 3.15-3.19
6 Na 0.7208 0.7137 0.0418  2 Tl 3.15-3.19
7 Na 0.1790 0.1718 0.9582  2 Tl 3.15-3.19
8 Na 0.8210 0.2137 0.0418  2 Tl 3.15-3.19
9 Na 0.1861 0.1605 0.3135  3 Tl 3.21-3.41, 1 Na 3.59
10 Na 0.8139 0.8469 0.6865  3 Tl 3.21-3.41, 1 Na 3.59
11 Na 0.6274 0.6605 0.3135  3 Tl 3.21-3.41, 1 Na 3.59
12 Na 0.3726 0.3469 0.6865  3 Tl 3.21-3.41, 1 Na 3.59
13 Na 0.0163 0.5181 0.5000  6 Na 3.70-4.06, 2 K 4.04
14 Na 0.9837 0.0181 0.5000  6 Na 3.70-4.06, 2 K 4.04
15 Tl 0.0000 0.8744 0.0000  6 Na 3.15-3.21
16 Tl 0.5000 0.3744 0.0000  6 Na 3.15-3.21
17 Tl 0.4886 0.5112 0.5000  4 Na 3.36-3.41, 4 K 3.69-3.72
18 Tl 0.5114 0.0112 0.5000  4 Na 3.36-3.41, 4 K 3.69-3.72



2.
Sr3Y2UP6 after structural relaxation, computed with PBE.

As for the energy of formation: -1.252 eV/atom. The symmetry is No. 12. For the volume, the calculation gives 306.52 Å³ per cell.

Cell lengths 7.1361, 7.1361, 7.3475 Å; angles 99.33, 99.33, 120.00 degrees
Last column: nearest neighbours and their distance in Å.
Sites, in units of the cell vectors:
1 Sr 0.1702 0.8298 0.5000  6 P 3.05-3.16
2 Sr 0.8298 0.1702 0.5000  6 P 3.05-3.16
3 Sr 0.5000 0.5000 0.5000  6 P 3.05-3.20
4 Y 0.3338 0.6662 0.0000  6 P 2.86-2.87
5 Y 0.6662 0.3338 0.0000  6 P 2.86-2.87
6 U 0.0000 0.0000 0.0000  6 P 2.70-2.71
7 P 0.9285 0.6120 0.7846  1 U 2.71, 2 Y 2.87
8 P 0.7567 0.7567 0.2148  1 U 2.70, 2 Y 2.86
9 P 0.0715 0.3880 0.2154  1 U 2.71, 2 Y 2.87
10 P 0.6120 0.9285 0.7846  1 U 2.71, 2 Y 2.87
11 P 0.2433 0.2433 0.7852  1 U 2.70, 2 Y 2.86
12 P 0.3880 0.0715 0.2154  1 U 2.71, 2 Y 2.87



3.
K2Ag5O4 after structural relaxation, computed with PBE.

The symmetry is No. 69. For the volume, the calculation gives 195.61 Å³ per cell. The value obtained for the uncorrected formation energy is -0.284 eV/atom.

Cell lengths 5.7227, 6.6083, 6.4121 Å; angles 78.86, 63.50, 64.34 degrees
Last column: nearest neighbours and their distance in Å.
Sites, in units of the cell vectors:
1 K 0.8257 0.0000 0.3486  2 O 2.75
2 K 0.1743 0.0000 0.6514  2 O 2.75
3 Ag 0.5000 0.0000 0.0000  4 O 2.15
4 Ag 0.0000 0.5000 0.0000  4 O 2.49
5 Ag 0.5000 0.5000 0.0000  4 O 2.49
6 Ag 0.2500 0.5000 0.5000  4 O 2.44
7 Ag 0.7500 0.5000 0.5000  4 O 2.44
8 O 0.4972 0.2631 0.7426  1 Ag 2.15
9 O 0.5028 0.7369 0.2574  1 Ag 2.15
10 O 0.2398 0.2631 0.2574  1 Ag 2.15
11 O 0.7602 0.7369 0.7426  1 Ag 2.15



4.
LaGa2PtCl after structural relaxation, computed with PBE.

The symmetry is No. 123. For the volume, the calculation gives 204.56 Å³ per cell. The value obtained for the uncorrected formation energy is 0.438 eV/atom.

Cell lengths 6.2723, 5.1995, 6.2723 Å; angles 90.00, 90.00, 90.00 degrees
Last column: nearest neighbours and their distance in Å.
Sites, in units of the cell vectors:
1 Cl 0.5000 0.5000 0.5000  8 Ga 4.07, 4 Pt 4.44
2 Ga 0.0000 0.0000 0.5000  2 La 3.14
3 Ga 0.5000 0.0000 0.0000  2 La 3.14
4 Pt 0.0000 0.5000 0.0000  2 La 2.60
5 La 0.0000 0.0000 0.0000  2 Pt 2.60



5.
Si3RuO after structural relaxation, computed with PBE.

The symmetry is No. 221. The distance to the lowest polymorph of the same formula is 0.0 meV per atom. For the volume, the calculation gives 63.01 Å³ per cell. The value obtained for the uncorrected formation energy is 0.115 eV/atom.

Cell lengths 3.9793, 3.9793, 3.9793 Å; angles 90.00, 90.00, 90.00 degrees
Last column: nearest neighbours and their distance in Å.
Sites, in units of the cell vectors:
1 Ru 0.5000 0.5000 0.5000  12 Si 2.81
2 Si 0.0000 0.5000 0.0000  2 O 1.99
3 Si 0.0000 0.0000 0.5000  2 O 1.99
4 Si 0.5000 0.0000 0.0000  2 O 1.99
5 O 0.0000 0.0000 0.0000  6 Si 1.99



6.
Na3Dy3ErTe8 after structural relaxation, computed with PBE.

The symmetry is No. 12. For the volume, the calculation gives 505.66 Å³ per cell. The value obtained for the uncorrected formation energy is -1.248 eV/atom.

Cell lengths 8.7076, 8.7115, 9.1993 Å; angles 118.33, 89.99, 119.99 degrees
Last column: nearest neighbours and their distance in Å.
Sites, in units of the cell vectors:
1 Na 0.0000 0.0000 0.0000  6 Te 3.24-3.26
2 Na 0.0000 0.5000 0.0000  6 Te 3.25-3.26
3 Na 0.5000 0.5000 0.0000  6 Te 3.25-3.26
4 Dy 0.5000 0.0000 0.5000  6 Te 3.08-3.09
5 Dy 0.5000 0.5000 0.5000  6 Te 3.08-3.09
6 Dy 0.0000 0.5000 0.5000  6 Te 3.08-3.09
7 Er 0.0000 0.0000 0.5000  6 Te 3.08
8 Te 0.2555 0.5110 0.2669  3 Dy 3.09, 3 Na 3.24-3.25
9 Te 0.7445 0.4890 0.7331  3 Dy 3.09, 3 Na 3.24-3.25
10 Te 0.7560 0.5121 0.2691  2 Dy 3.08, 1 Er 3.08, 2 Na 3.26
11 Te 0.2440 0.4879 0.7309  2 Dy 3.08, 1 Er 3.08, 2 Na 3.26
12 Te 0.7560 0.0126 0.2690  2 Dy 3.08, 1 Er 3.08, 2 Na 3.26
13 Te 0.2440 0.9874 0.7310  2 Dy 3.08, 1 Er 3.08, 2 Na 3.26
14 Te 0.2564 0.0125 0.2691  2 Dy 3.08, 1 Er 3.08, 2 Na 3.25-3.26
15 Te 0.7436 0.9875 0.7309  2 Dy 3.08, 1 Er 3.08, 2 Na 3.25-3.26



7.
Al3SCl after structural relaxation, computed with PBE.

The symmetry is No. 221. The distance to the lowest polymorph of the same formula is 0.0 meV per atom. For the volume, the calculation gives 130.91 Å³ per cell. The value obtained for the uncorrected formation energy is 0.387 eV/atom.

Cell lengths 5.0776, 5.0776, 5.0776 Å; angles 90.00, 90.00, 90.00 degrees
Last column: nearest neighbours and their distance in Å.
Sites, in units of the cell vectors:
1 S 0.0000 0.0000 0.0000  6 Al 2.54
2 Al 0.0000 0.5000 0.0000  2 S 2.54
3 Al 0.0000 0.0000 0.5000  2 S 2.54
4 Al 0.5000 0.0000 0.0000  2 S 2.54
5 Cl 0.5000 0.5000 0.5000  12 Al 3.59



8.
Ce2UGaRu4 after structural relaxation, computed with PBE.

As for the energy of formation: -0.277 eV/atom. The symmetry is No. 70. For the volume, the calculation gives 321.54 Å³ per cell.

Cell lengths 5.8576, 7.0668, 9.0237 Å; angles 82.27, 71.06, 65.52 degrees
Last column: nearest neighbours and their distance in Å.
Sites, in units of the cell vectors:
1 Ce 0.1773 0.0000 0.6455  4 Ru 2.73-2.98, 1 Ga 3.03
2 Ce 0.8227 0.0000 0.3545  4 Ru 2.73-2.98, 1 Ga 3.03
3 Ce 0.5727 0.5000 0.8545  4 Ru 2.73-2.98, 1 Ga 3.03
4 Ce 0.9273 0.5000 0.1455  4 Ru 2.73-2.98, 1 Ga 3.03
5 U 0.2500 0.5000 0.5000  4 Ru 2.59
6 U 0.5000 0.0000 0.0000  4 Ru 2.59
7 Ga 0.7500 0.5000 0.5000  4 Ru 2.49
8 Ga 0.0000 0.0000 0.0000  4 Ru 2.49
9 Ru 0.3105 0.7235 0.1258  1 Ga 2.49, 1 U 2.59, 1 Ru 2.70, 1 Ce 2.73
10 Ru 0.1599 0.2765 0.8742  1 Ga 2.49, 1 U 2.59, 1 Ru 2.70, 1 Ce 2.73
11 Ru 0.9659 0.7235 0.8742  1 Ga 2.49, 1 U 2.59, 1 Ru 2.70, 1 Ce 2.73
12 Ru 0.5637 0.2765 0.1258  1 Ga 2.49, 1 U 2.59, 1 Ru 2.70, 1 Ce 2.73
13 Ru 0.4395 0.7765 0.3742  1 Ga 2.49, 1 U 2.59, 1 Ru 2.70, 1 Ce 2.73
14 Ru 0.5901 0.2235 0.6258  1 Ga 2.49, 1 U 2.59, 1 Ru 2.70, 1 Ce 2.73
15 Ru 0.7841 0.7765 0.6258  1 Ga 2.49, 1 U 2.59, 1 Ru 2.70, 1 Ce 2.73
16 Ru 0.1863 0.2235 0.3742  1 Ga 2.49, 1 U 2.59, 1 Ru 2.70, 1 Ce 2.73



9.
AlPtW2 after structural relaxation, computed with PBE.

As for the energy of formation: -0.154 eV/atom. The symmetry is No. 47. For the volume, the calculation gives 62.13 Å³ per cell.

Cell lengths 2.7497, 4.2534, 5.3127 Å; angles 90.00, 90.00, 90.00 degrees
Last column: nearest neighbours and their distance in Å.
Sites, in units of the cell vectors:
1 W 0.0000 0.0000 0.0081  4 W 2.57-2.75, 4 Al 2.84
2 W 0.0000 0.0000 0.4919  4 W 2.57-2.75, 4 Al 2.84
3 Pt 0.5000 0.5000 0.7500  2 Al 2.66, 2 Pt 2.75, 8 W 2.88
4 Al 0.5000 0.5000 0.2500  2 Pt 2.66, 2 Al 2.75, 8 W 2.84



10.
SrSiSb after structural relaxation, computed with PBE.

The symmetry is No. 216. The distance to the lowest polymorph of the same formula is 375.6 meV per atom. For the volume, the calculation gives 94.12 Å³ per cell. The value obtained for the uncorrected formation energy is -0.103 eV/atom.

Cell lengths 5.1058, 5.1058, 5.1058 Å; angles 60.00, 60.00, 60.00 degrees
Last column: nearest neighbours and their distance in Å.
Sites, in units of the cell vectors:
1 Sb 0.5000 0.5000 0.5000  4 Si 3.13
2 Si 0.7500 0.7500 0.7500  4 Sb 3.13, 4 Sr 3.13
3 Sr 0.0000 0.0000 0.0000  4 Si 3.13



11.
Si23Xe4 after structural relaxation, computed with PBE.

The symmetry is No. 223. For the volume, the calculation gives 1143.08 Å³ per cell. The value obtained for the uncorrected formation energy is 0.224 eV/atom.

Cell lengths 10.4558, 10.4558, 10.4558 Å; angles 90.00, 90.00, 90.00 degrees
Last column: nearest neighbours and their distance in Å.
Sites, in units of the cell vectors:
1 Xe 0.0000 0.0000 0.0000  20 Si 3.35-3.43
2 Xe 0.5000 0.5000 0.5000  20 Si 3.35-3.43
3 Xe 0.2500 0.5000 0.0000  20 Si 3.54-3.88
4 Xe 0.7500 0.5000 0.0000  20 Si 3.54-3.88
5 Xe 0.5000 0.0000 0.2500  20 Si 3.54-3.88
6 Xe 0.5000 0.0000 0.7500  20 Si 3.54-3.88
7 Xe 0.0000 0.2500 0.5000  20 Si 3.54-3.88
8 Xe 0.0000 0.7500 0.5000  20 Si 3.54-3.88
9 Si 0.2500 0.0000 0.5000  4 Si 2.45
10 Si 0.7500 0.0000 0.5000  4 Si 2.45
11 Si 0.0000 0.5000 0.2500  4 Si 2.45
12 Si 0.0000 0.5000 0.7500  4 Si 2.45
13 Si 0.5000 0.2500 0.0000  4 Si 2.45
14 Si 0.5000 0.7500 0.0000  4 Si 2.45
15 Si 0.6848 0.6848 0.6848  4 Si 2.36-2.41
16 Si 0.6848 0.3152 0.3152  4 Si 2.36-2.41
17 Si 0.3152 0.6848 0.3152  4 Si 2.36-2.41
18 Si 0.3152 0.3152 0.6848  4 Si 2.36-2.41
19 Si 0.8152 0.8152 0.8152  4 Si 2.36-2.41
20 Si 0.8152 0.1848 0.1848  4 Si 2.36-2.41
21 Si 0.1848 0.8152 0.1848  4 Si 2.36-2.41
22 Si 0.1848 0.1848 0.8152  4 Si 2.36-2.41
23 Si 0.3152 0.3152 0.3152  4 Si 2.36-2.41
24 Si 0.3152 0.6848 0.6848  4 Si 2.36-2.41
25 Si 0.6848 0.3152 0.6848  4 Si 2.36-2.41
26 Si 0.6848 0.6848 0.3152  4 Si 2.36-2.41
27 Si 0.1848 0.1848 0.1848  4 Si 2.36-2.41
28 Si 0.1848 0.8152 0.8152  4 Si 2.36-2.41
29 Si 0.8152 0.1848 0.8152  4 Si 2.36-2.41
30 Si 0.8152 0.8152 0.1848  4 Si 2.36-2.41
31 Si 0.0000 0.6941 0.8806  4 Si 2.41-2.50
32 Si 0.0000 0.3059 0.1194  4 Si 2.41-2.50
33 Si 0.0000 0.6941 0.1194  4 Si 2.41-2.50
34 Si 0.0000 0.3059 0.8806  4 Si 2.41-2.50
35 Si 0.6941 0.8806 0.0000  4 Si 2.41-2.50
36 Si 0.6941 0.1194 0.0000  4 Si 2.41-2.50
37 Si 0.3059 0.8806 0.0000  4 Si 2.41-2.50
38 Si 0.3059 0.1194 0.0000  4 Si 2.41-2.50
39 Si 0.8806 0.0000 0.6941  4 Si 2.41-2.50
40 Si 0.8806 0.0000 0.3059  4 Si 2.41-2.50
41 Si 0.1194 0.0000 0.3059  4 Si 2.41-2.50
42 Si 0.1194 0.0000 0.6941  4 Si 2.41-2.50
43 Si 0.8059 0.5000 0.6194  4 Si 2.41-2.50
44 Si 0.8059 0.5000 0.3806  4 Si 2.41-2.50
45 Si 0.1941 0.5000 0.3806  4 Si 2.41-2.50
46 Si 0.1941 0.5000 0.6194  4 Si 2.41-2.50
47 Si 0.5000 0.6194 0.8059  4 Si 2.41-2.50
48 Si 0.5000 0.3806 0.1941  4 Si 2.41-2.50
49 Si 0.5000 0.6194 0.1941  4 Si 2.41-2.50
50 Si 0.5000 0.3806 0.8059  4 Si 2.41-2.50
51 Si 0.6194 0.8059 0.5000  4 Si 2.41-2.50
52 Si 0.6194 0.1941 0.5000  4 Si 2.41-2.50
53 Si 0.3806 0.8059 0.5000  4 Si 2.41-2.50
54 Si 0.3806 0.1941 0.5000  4 Si 2.41-2.50



12.
CoRe after structural relaxation, computed with PBE.

As for the energy of formation: 0.179 eV/atom. The symmetry is No. 166. For the volume, the calculation gives 53.40 Å³ per cell.

Cell lengths 8.6071, 8.6071, 8.6071 Å; angles 18.04, 18.04, 18.04 degrees
Last column: nearest neighbours and their distance in Å.
Sites, in units of the cell vectors:
1 Co 0.9964 0.9964 0.9964  9 Co 2.48-2.70, 3 Re 2.65
2 Co 0.2536 0.2536 0.2536  9 Co 2.48-2.70, 3 Re 2.65
3 Re 0.5025 0.5025 0.5025  3 Co 2.65, 9 Re 2.70-2.73
4 Re 0.7475 0.7475 0.7475  3 Co 2.65, 9 Re 2.70-2.73